ZrCdNiPt2 | GGA-PBE | relaxed

POSCAR file:
```
ZrCdNiPt2
1.0
4.671 0.000 0.000
0.000 4.671 0.000
0.000 0.000 4.533
Zr Cd Ni Pt
1 1 1 2
Direct
0.000 0.000 0.000 Zr
0.500 0.500 0.000 Cd
0.500 0.500 0.500 Ni
0.000 0.500 0.500 Pt
0.500 0.000 0.500 Pt
```

* calculated volume: 19.78 A^3/atom
* E_form: 0.37 eV per atom
* calculated total energy: -25.484 eV for the cell shown
* SG: P4/mmm


PuCdNi2 | GGA-PBE | relaxed

POSCAR file:
```
PuCdNi2
1.0
3.150 0.000 0.000
0.000 3.150 0.000
0.000 0.000 6.807
Pu Cd Ni
1 1 2
Direct
0.000 0.000 0.000 Pu
0.000 0.000 0.500 Cd
0.500 0.500 0.268 Ni
0.500 0.500 0.732 Ni
```

* calculated volume: 16.89 A^3/atom
* E_form: 0.03 eV per atom
* calculated total energy: -26.696 eV for the cell shown
* SG: P4/mmm


PuCd3Ni8 | GGA-PBE | relaxed

POSCAR file:
```
PuCd3Ni8
1.0
2.469 1.426 8.112
-2.469 1.426 8.112
0.000 -2.851 8.112
Pu Cd Ni
1 3 8
Direct
0.000 0.000 0.000 Pu
0.383 0.383 0.383 Cd
0.504 0.504 0.504 Cd
0.872 0.872 0.872 Cd
0.189 0.189 0.189 Ni
0.438 0.438 0.940 Ni
0.438 0.938 0.938 Ni
0.438 0.940 0.438 Ni
0.689 0.689 0.689 Ni
0.938 0.438 0.938 Ni
0.938 0.938 0.438 Ni
0.940 0.438 0.438 Ni
```

* calculated volume: 14.28 A^3/atom
* E_form: -0.07 eV per atom
* calculated total energy: -64.206 eV for the cell shown
* SG: R3m


Pu2CdNi9 | GGA-PBE | relaxed

POSCAR file:
```
Pu2CdNi9
1.0
2.447 1.413 8.121
-2.447 1.413 8.121
0.000 -2.826 8.121
Pu Cd Ni
2 1 9
Direct
0.139 0.139 0.139 Pu
0.861 0.861 0.861 Pu
0.000 0.000 0.000 Cd
0.081 0.582 0.582 Ni
0.333 0.333 0.333 Ni
0.418 0.418 0.919 Ni
0.418 0.919 0.418 Ni
0.500 0.500 0.500 Ni
0.582 0.081 0.582 Ni
0.582 0.582 0.081 Ni
0.667 0.667 0.667 Ni
0.919 0.418 0.418 Ni
```

* calculated volume: 14.04 A^3/atom
* E_form: -0.12 eV per atom
* calculated total energy: -83.035 eV for the cell shown
* SG: R-3m


PuCdNiRh | GGA-PBE | relaxed

POSCAR file:
```
PuCdNiRh
1.0
0.000 3.306 3.306
3.306 0.000 3.306
3.306 3.306 0.000
Pu Cd Ni Rh
1 1 1 1
Direct
0.000 0.000 0.000 Pu
0.500 0.500 0.500 Cd
0.250 0.250 0.250 Ni
0.750 0.750 0.750 Rh
```

* calculated volume: 18.06 A^3/atom
* E_form: -0.16 eV per atom
* calculated total energy: -29.016 eV for the cell shown
* SG: F-43m


PuCdNiRu | GGA-PBE | relaxed

POSCAR file:
```
PuCdNiRu
1.0
0.000 3.279 3.279
3.279 0.000 3.279
3.279 3.279 0.000
Pu Cd Ni Ru
1 1 1 1
Direct
0.000 0.000 0.000 Pu
0.500 0.500 0.500 Cd
0.250 0.250 0.250 Ni
0.750 0.750 0.750 Ru
```

* calculated volume: 17.63 A^3/atom
* E_form: 0.03 eV per atom
* calculated total energy: -30.167 eV for the cell shown
* SG: F-43m


PuZnCdNi | GGA-PBE | relaxed

POSCAR file:
```
PuZnCdNi
1.0
0.000 3.364 3.364
3.364 0.000 3.364
3.364 3.364 0.000
Pu Zn Cd Ni
1 1 1 1
Direct
0.000 0.000 0.000 Pu
0.250 0.250 0.250 Zn
0.500 0.500 0.500 Cd
0.750 0.750 0.750 Ni
```

* calculated volume: 19.03 A^3/atom
* E_form: 0.01 eV per atom
* calculated total energy: -22.257 eV for the cell shown
* SG: F-43m


Rb2CdNi | GGA-PBE | relaxed

POSCAR file:
```
Rb2CdNi
1.0
-3.974 3.974 8.157
3.974 -3.974 8.157
3.974 3.974 -8.157
Rb Cd Ni
4 2 2
Direct
0.038 0.625 0.913 Rb
0.375 0.288 0.413 Rb
0.712 0.125 0.087 Rb
0.875 0.962 0.587 Rb
0.250 0.750 0.500 Cd
0.500 0.500 0.000 Cd
0.000 0.000 0.000 Ni
0.750 0.250 0.500 Ni
```

* calculated volume: 64.40 A^3/atom
* E_form: 0.79 eV per atom
* calculated total energy: -10.920 eV for the cell shown
* SG: I-42d


RbCdNi3 | GGA-PBE | relaxed

POSCAR file:
```
RbCdNi3
1.0
4.919 0.000 0.000
0.000 4.919 0.000
0.000 0.000 4.919
Rb Cd Ni
1 1 3
Direct
0.000 0.000 0.000 Rb
0.500 0.500 0.500 Cd
0.000 0.500 0.500 Ni
0.500 0.000 0.500 Ni
0.500 0.500 0.000 Ni
```

* calculated volume: 23.80 A^3/atom
* E_form: 1.08 eV per atom
* calculated total energy: -13.814 eV for the cell shown
* SG: Pm-3m


RbCdNi2 | GGA-PBE | relaxed

POSCAR file:
```
RbCdNi2
1.0
-2.435 2.435 9.110
2.435 -2.435 9.110
2.435 2.435 -9.110
Rb Cd Ni
2 2 4
Direct
0.375 0.625 0.750 Rb
0.625 0.375 0.250 Rb
0.125 0.875 0.250 Cd
0.875 0.125 0.750 Cd
0.000 0.000 0.000 Ni
0.000 0.000 0.500 Ni
0.000 0.500 0.000 Ni
0.500 0.000 0.500 Ni
```

* calculated volume: 27.00 A^3/atom
* E_form: 0.56 eV per atom
* calculated total energy: -22.450 eV for the cell shown
* SG: I4_1/amd


RbCdNi3 | GGA-PBE | relaxed

POSCAR file:
```
RbCdNi3
1.0
4.718 0.000 0.000
0.000 4.718 0.000
0.000 0.000 4.718
Rb Cd Ni
1 1 3
Direct
0.000 0.000 0.000 Rb
0.500 0.500 0.500 Cd
0.000 0.000 0.500 Ni
0.000 0.500 0.000 Ni
0.500 0.000 0.000 Ni
```

* calculated volume: 21.00 A^3/atom
* E_form: 1.94 eV per atom
* calculated total energy: -9.543 eV for the cell shown
* SG: Pm-3m


RbCd2Ni | GGA-PBE | relaxed

POSCAR file:
```
RbCd2Ni
1.0
2.319 1.339 6.515
-2.319 1.339 6.515
0.000 -2.678 6.515
Rb Cd Ni
1 2 1
Direct
0.000 0.000 0.000 Rb
0.192 0.192 0.192 Cd
0.808 0.808 0.808 Cd
0.500 0.500 0.500 Ni
```

* calculated volume: 30.34 A^3/atom
* E_form: 0.11 eV per atom
* calculated total energy: -8.122 eV for the cell shown
* SG: R-3m


RbCd2Ni | GGA-PBE | relaxed

POSCAR file:
```
RbCd2Ni
1.0
0.000 3.736 3.736
3.736 0.000 3.736
3.736 3.736 0.000
Rb Cd Ni
1 2 1
Direct
0.000 0.000 0.000 Rb
0.250 0.250 0.250 Cd
0.750 0.750 0.750 Cd
0.500 0.500 0.500 Ni
```

* calculated volume: 26.07 A^3/atom
* E_form: 0.54 eV per atom
* calculated total energy: -6.428 eV for the cell shown
* SG: Fm-3m


Rb2Cd2Ni | GGA-PBE | relaxed

POSCAR file:
```
Rb2Cd2Ni
1.0
7.284 0.000 0.000
0.000 7.284 0.000
0.000 0.000 6.216
Rb Cd Ni
4 4 2
Direct
0.175 0.325 0.000 Rb
0.325 0.825 0.000 Rb
0.675 0.175 0.000 Rb
0.825 0.675 0.000 Rb
0.176 0.676 0.500 Cd
0.324 0.176 0.500 Cd
0.676 0.824 0.500 Cd
0.824 0.324 0.500 Cd
0.000 0.000 0.500 Ni
0.500 0.500 0.500 Ni
```

* calculated volume: 32.98 A^3/atom
* E_form: 0.27 eV per atom
* calculated total energy: -16.432 eV for the cell shown
* SG: P4/mbm


Rb3CdNi | GGA-PBE | relaxed

POSCAR file:
```
Rb3CdNi
1.0
6.434 0.000 0.000
0.000 6.434 0.000
0.000 0.000 6.434
Rb Cd Ni
3 1 1
Direct
0.000 0.000 0.500 Rb
0.000 0.500 0.000 Rb
0.500 0.000 0.000 Rb
0.500 0.500 0.500 Cd
0.000 0.000 0.000 Ni
```

* calculated volume: 53.28 A^3/atom
* E_form: 0.49 eV per atom
* calculated total energy: -7.125 eV for the cell shown
* SG: Pm-3m


RbCd2Ni | GGA-PBE | relaxed

POSCAR file:
```
RbCd2Ni
1.0
-2.917 2.917 8.356
2.917 -2.917 8.356
2.917 2.917 -8.356
Rb Cd Ni
2 4 2
Direct
0.375 0.625 0.750 Rb
0.625 0.375 0.250 Rb
0.000 0.000 0.000 Cd
0.000 0.000 0.500 Cd
0.000 0.500 0.000 Cd
0.500 0.000 0.500 Cd
0.125 0.875 0.250 Ni
0.875 0.125 0.750 Ni
```

* calculated volume: 35.55 A^3/atom
* E_form: 0.26 eV per atom
* calculated total energy: -15.097 eV for the cell shown
* SG: I4_1/amd


RbCd2NiRh | GGA-PBE | relaxed

POSCAR file:
```
RbCd2NiRh
1.0
4.966 0.000 0.000
0.000 4.966 0.000
0.000 0.000 5.483
Rb Cd Ni Rh
1 2 1 1
Direct
0.000 0.000 0.000 Rb
0.000 0.500 0.500 Cd
0.500 0.000 0.500 Cd
0.000 0.000 0.500 Ni
0.500 0.500 0.000 Rh
```

* calculated volume: 27.05 A^3/atom
* E_form: 0.91 eV per atom
* calculated total energy: -11.362 eV for the cell shown
* SG: P4/mmm


RbCd2SiNi | GGA-PBE | relaxed

POSCAR file:
```
RbCd2SiNi
1.0
6.033 0.000 0.000
0.000 6.033 0.000
0.000 0.000 4.801
Rb Cd Si Ni
1 2 1 1
Direct
0.000 0.000 0.000 Rb
0.000 0.500 0.000 Cd
0.500 0.000 0.000 Cd
0.500 0.500 0.500 Si
0.000 0.000 0.500 Ni
```

* calculated volume: 34.94 A^3/atom
* energy relative to the elements, uncorrected: 8.6 eV/f.u.
* calculated total energy: -5.432 eV for the cell shown
* SG: P4/mmm


RbCd2NiSn | GGA-PBE | relaxed

POSCAR file:
```
RbCd2NiSn
1.0
5.240 0.000 0.000
0.000 5.240 0.000
0.000 0.000 4.958
Rb Cd Ni Sn
1 2 1 1
Direct
0.000 0.000 0.000 Rb
0.000 0.500 0.500 Cd
0.500 0.000 0.500 Cd
0.500 0.500 0.500 Ni
0.500 0.500 0.000 Sn
```

* calculated volume: 27.23 A^3/atom
* E_form: -0.05 eV per atom
* calculated total energy: -12.818 eV for the cell shown
* SG: P4/mmm


RbSr2CdNi | GGA-PBE | relaxed

POSCAR file:
```
RbSr2CdNi
1.0
5.909 0.000 0.000
0.000 5.909 0.000
0.000 0.000 5.369
Rb Sr Cd Ni
1 2 1 1
Direct
0.000 0.000 0.000 Rb
0.000 0.500 0.500 Sr
0.500 0.000 0.500 Sr
0.500 0.500 0.000 Cd
0.500 0.500 0.500 Ni
```

* calculated volume: 37.49 A^3/atom
* E_form: 0.04 eV per atom
* calculated total energy: -10.810 eV for the cell shown
* SG: P4/mmm